Material: HgPt2O
Method: DFT, PBE
State: optimized geometry

Values from the calculation:
For the energy, the calculation gives -4.31 eV per atom. The value obtained for the calculated volume is 16.4 Å³/atom.

```
8
Lattice="-5.048 0.388 -1.290 -1.158 -1.544 -5.089 -2.430 -4.882 0.440" Properties=species:S:1:pos:R:3 pbc="T T T"
Pt -2.913 -3.623 -4.600
Pt -7.333 -4.111 -2.262
Pt -4.980 -2.711 -2.775
Pt -5.521 -4.114 -5.223
Hg -4.771 -1.495 -5.584
Hg -2.763 -1.100 -3.370
O -3.597 -4.242 -2.775
O -1.106 -1.431 -1.346
```

---

Material: HgPt2O
Method: DFT, PBE
State: optimized geometry

Values from the calculation:
For the energy, the calculation gives -4.33 eV per atom. The value obtained for the calculated volume is 19.2 Å³/atom.

```
8
Lattice="5.536 0.000 0.025 0.000 2.924 0.000 -1.506 0.000 9.474" Properties=species:S:1:pos:R:3 pbc="T T T"
Pt 0.286 0.000 7.891
Pt 4.225 0.000 3.213
Pt 1.039 1.462 3.154
Pt 3.472 1.462 7.950
O 2.990 1.462 2.525
O 2.237 0.000 7.262
Hg -0.412 1.462 5.532
Hg 0.341 0.000 0.795
```

---

Material: HgPt3O
Method: DFT, PBE
State: optimized geometry

Values from the calculation:
For the energy, the calculation gives -4.21 eV per atom. The value obtained for the calculated volume is 16.2 Å³/atom.

```
5
Lattice="-3.803 -2.021 -0.447 1.668 -3.546 1.841 -1.226 1.445 3.893" Properties=species:S:1:pos:R:3 pbc="T T T"
Pt 0.834 -1.773 0.920
Pt -1.901 -1.010 -0.224
Pt -0.613 0.722 1.947
O 0.000 0.000 0.000
Hg -1.680 -2.061 2.643
```

---

Material: HgPt2O
Method: DFT, PBE
State: optimized geometry

Values from the calculation:
For the energy, the calculation gives -4.35 eV per atom. The value obtained for the calculated volume is 17.7 Å³/atom.

```
8
Lattice="-1.216 -3.498 3.075 3.020 -3.625 -3.161 3.295 4.369 2.976" Properties=species:S:1:pos:R:3 pbc="T T T"
O 3.836 3.001 2.335
O 2.351 -4.544 0.006
Pt 0.822 -4.469 1.220
Pt 2.356 0.079 2.125
Pt 0.961 -0.796 4.313
Pt 2.270 -2.620 2.758
Hg 3.752 -1.735 0.513
Hg 2.794 -3.625 -2.158
```

---

Material: Hg3PtO
Method: DFT, PBE
State: optimized geometry

Values from the calculation:
For the energy, the calculation gives -1.95 eV per atom. The value obtained for the calculated volume is 19.8 Å³/atom.

```
5
Lattice="-0.510 0.120 4.599 -3.747 -2.695 -0.345 2.669 -3.761 0.394" Properties=species:S:1:pos:R:3 pbc="T T T"
Hg -0.255 0.060 2.299
Hg -1.873 -1.348 -0.173
Hg 1.335 -1.880 0.197
O 0.000 0.000 0.000
Pt -0.794 -3.168 2.324
```

---

Material: HgPtO4
Method: DFT, PBE
State: optimized geometry

Values from the calculation:
For the energy, the calculation gives -4.50 eV per atom. The value obtained for the calculated volume is 14.6 Å³/atom.

```
12
Lattice="6.248 -0.791 0.000 -2.375 7.045 0.000 -1.937 -3.127 4.157" Properties=species:S:1:pos:R:3 pbc="T T T"
Hg 1.562 -0.198 3.592
Hg 0.375 3.325 0.565
O 4.860 1.346 0.278
O 2.138 4.512 0.278
O -0.201 -1.385 3.879
O 0.107 0.028 1.246
O 3.017 -0.423 1.246
O -1.081 3.550 2.912
O 1.830 3.099 2.912
O -2.923 1.781 3.879
Pt -2.750 3.720 4.089
Pt 4.686 -0.593 0.068
```

---

Material: HgPt2O
Method: DFT, PBE
State: optimized geometry

Values from the calculation:
For the energy, the calculation gives -4.30 eV per atom. The value obtained for the calculated volume is 18.2 Å³/atom.

```
8
Lattice="-1.576 -4.268 -1.726 5.532 -0.695 -0.866 -2.092 -0.949 5.700" Properties=species:S:1:pos:R:3 pbc="T T T"
Pt 1.968 -3.640 2.822
Pt 2.748 -2.771 0.339
Pt 2.265 -5.333 0.879
Pt 2.536 -4.548 -1.616
O 1.294 -2.591 4.450
O -1.726 -2.222 4.074
Hg -0.641 -3.758 2.083
Hg -0.271 -4.579 -0.861
```

---

Material: Hg2PtO
Method: DFT, PBE
State: optimized geometry

Values from the calculation:
For the energy, the calculation gives -2.69 eV per atom. The value obtained for the calculated volume is 18.6 Å³/atom.

```
8
Lattice="6.674 0.000 0.000 0.000 6.674 0.000 3.337 3.337 3.335" Properties=species:S:1:pos:R:3 pbc="T T T"
O 3.337 6.674 1.668
O 3.337 3.337 0.000
Pt 6.674 3.337 1.668
Pt 0.000 0.000 0.000
Hg 4.669 1.668 0.834
Hg 2.005 5.005 0.834
Hg 5.005 5.342 2.501
Hg 8.342 8.005 2.501
```

---

Number 1: formation energy without anion corrections 0.023 eV/atom, DOS(E_F) 3.58 states/eV per cell. Number 2: formation energy without anion corrections 0.002 eV/atom, DOS(E_F) 3.01 states/eV per cell. Number 3: formation energy without anion corrections 0.470 eV/atom, DOS(E_F) 3.35 states/eV per cell. Number 4: formation energy without anion corrections -0.011 eV/atom, DOS(E_F) 5.73 states/eV per cell. Number 5: formation energy without anion corrections 0.431 eV/atom, DOS(E_F) 0.87 states/eV per cell. Number 6: formation energy without anion corrections -0.139 eV/atom, DOS(E_F) 6.01 states/eV per cell. Number 7: formation energy without anion corrections 0.038 eV/atom, DOS(E_F) 4.05 states/eV per cell. Number 8: formation energy without anion corrections 0.207 eV/atom, DOS(E_F) 3.66 states/eV per cell.